1.
Crystalline RbPu3Se6 at its relaxed geometry, computed with PBE.

Results
Space-group type: No. 11
Final energy, hartree per atom: -0.286
Raw formation energy, eV/atom: -1.29
Crystal system: monoclinic

Cell and atoms, written as POSCAR:
```
RbPu3Se6
1.0
4.2276 0.0000 0.0000
0.0000 11.7980 -3.9297
0.0000 0.3487 12.7909
Rb Pu Se
2 6 12
Direct
0.7500 0.6346 0.9116
0.2500 0.3654 0.0884
0.7500 0.3470 0.4557
0.2500 0.6530 0.5443
0.7500 0.7400 0.2878
0.2500 0.2600 0.7122
0.7500 0.9648 0.8491
0.2500 0.0352 0.1509
0.7500 0.1791 0.5636
0.2500 0.8209 0.4364
0.7500 0.1293 0.0551
0.2500 0.8707 0.9449
0.7500 0.7455 0.6887
0.2500 0.2545 0.3113
0.7500 0.5515 0.3924
0.2500 0.4485 0.6076
0.7500 0.3472 0.8567
0.2500 0.6528 0.1433
0.7500 0.9528 0.2507
0.2500 0.0472 0.7493
```

2.
Crystalline RbPu2Se4 at its relaxed geometry, computed with PBE.

Results
Space-group type: No. 63
Final energy, hartree per atom: -0.279
Raw formation energy, eV/atom: -1.36
Crystal system: orthorhombic

Cell and atoms, written as POSCAR:
```
RbPu2Se4
1.0
-1.0932 -2.2859 -3.3752
4.6540 -4.0613 3.8818
-11.0462 -5.6081 7.3760
Rb Pu Se
2 4 8
Direct
0.6050 0.2101 0.7500
0.3950 0.7899 0.2500
0.1346 0.2692 0.4362
0.8654 0.7308 0.9362
0.1346 0.2692 0.0638
0.8654 0.7308 0.5638
0.7621 0.5241 0.1064
0.7621 0.5241 0.3936
0.2379 0.4759 0.8936
0.2379 0.4759 0.6064
0.9129 0.8258 0.7500
0.0871 0.1742 0.2500
0.5000 0.0000 0.0000
0.5000 0.0000 0.5000
```

final energy of number 2 (RbPu2Se4)?
-0.279 hartree per atom